Entry 1:
15
Lattice="6.352 0.000 0.000 -3.176 5.501 0.000 0.000 0.000 7.697" Properties=species:S:1:pos:R:3 comment="Tm3Si2GeRh9 (PBE, optimized geometry)" volume_a3_per_atom=17.93 raw_formation_energy_ev_per_atom=-0.568 e_tot_ev_per_cell=-103.6 m_tot_mub_per_fu=0.0 pbc="T T T"
Tm 0.000 0.000 0.000
Tm 0.000 3.668 5.123
Tm 3.176 1.834 2.574
Si 0.000 3.668 1.232
Si 3.176 1.834 6.465
Ge 0.000 0.000 3.849
Rh -1.588 2.751 0.000
Rh 0.000 1.896 2.560
Rh -1.534 4.553 2.560
Rh 1.642 0.948 5.138
Rh 3.176 0.000 0.000
Rh 1.588 2.751 0.000
Rh 1.534 4.553 2.560
Rh 4.710 0.948 5.138
Rh 3.176 3.605 5.138

Entry 2:
16
Lattice="5.910 0.000 0.000 0.000 10.919 0.000 0.000 0.000 6.095" Properties=species:S:1:pos:R:3 comment="Na3Ge4Au (PBE, optimized geometry)" volume_a3_per_atom=24.58 e_tot_ev_per_cell=-54.6 m_tot_mub_per_fu=0.0 pbc="T T T"
Na 1.478 0.061 1.054
Na 1.478 2.730 3.406
Na 1.478 5.399 1.054
Na 4.433 5.520 5.040
Na 4.433 8.189 2.688
Na 4.433 10.858 5.040
Ge 0.015 8.189 5.823
Ge 1.478 6.799 4.184
Ge 1.478 9.579 4.184
Ge 2.940 8.189 5.823
Ge 2.970 2.730 0.272
Ge 4.433 1.340 1.911
Ge 4.433 4.119 1.911
Ge 5.895 2.730 0.272
Au 1.478 8.189 1.945
Au 4.433 2.730 4.149

Entry 3:
5
Lattice="3.362 0.000 0.000 0.000 3.362 0.000 0.000 0.000 3.362" Properties=species:S:1:pos:R:3 comment="CoAsH3 (PBE, optimized geometry)" volume_a3_per_atom=7.60 polymorph_energy_kj_per_mol_fu=0.0 e_tot_ev_per_cell=-19.7 m_tot_mub_per_fu=0.0 pbc="T T T"
Co 0.000 0.000 0.000
As 1.681 1.681 1.681
H 0.000 0.000 1.681
H 0.000 1.681 0.000
H 1.681 0.000 0.000

Entry 4:
4
Lattice="3.726 0.000 0.000 0.000 3.726 0.000 0.000 0.000 9.003" Properties=species:S:1:pos:R:3 comment="Pm2GdMg (PBE, optimized geometry)" volume_a3_per_atom=31.25 polymorph_energy_kj_per_mol_fu=0.0 e_tot_ev_per_cell=-25.3 m_tot_mub_per_fu=7.2 pbc="T T T"
Pm 0.000 0.000 2.051
Pm 0.000 0.000 6.952
Gd 1.863 1.863 4.502
Mg 1.863 1.863 0.000